The following is a PBE-GGA calculation of a geometry-optimized AsOsN structure, from Alexandria via LeMat-Bulk.

a b c (Å): 2.9217 2.9217 14.0519
angles (deg): 95.69 95.69 90.00
Closest atoms and distances in Å follow each position.
Positions (direct):
1 As 0.1634 0.1634 0.3182  4 Os 2.61, 4 As 2.92
2 As 0.8366 0.8366 0.6818  4 Os 2.61, 4 As 2.92
3 Os 0.2821 0.2821 0.5671  4 As 2.61, 8 Os 2.78-2.92
4 Os 0.7179 0.7179 0.4329  4 As 2.61, 8 Os 2.78-2.92
5 N 0.4804 0.4804 0.9600  1 N 1.11
6 N 0.5196 0.5196 0.0400  1 N 1.11

Values from the calculation:
Calculated total energy ... -7.917 eV/atom
Raw formation energy ... 0.151 eV/atom
Symmetry ... No. 12